NiHPdPt2: optimized geometry, PBE.

Properties
As for the crystal system: tetragonal. Its symmetry is P4/mmm, No. 123.

abc: 3.9389 3.9389 3.9891
angles: 90.00 90.00 90.00
Last column: nearest neighbours and their distance in Å.
Fractional coordinates of all 5 atoms:
H 0.0000 0.0000 0.0000  4 Pt 1.97, 2 Pd 1.99
Pt 0.5000 0.0000 0.0000  2 H 1.97
Pt 0.0000 0.5000 0.0000  2 H 1.97
Pd 0.0000 0.0000 0.5000  2 H 1.99
Ni 0.5000 0.5000 0.5000  4 Pd 2.79, 8 Pt 2.80



B5C7: optimized geometry, PBE.

Properties
As for the crystal system: monoclinic. Its symmetry is Cm, No. 8. The calculation puts the formation energy at 0.36 eV per atom.

abc: 4.5944 4.5944 8.4592
angles: 121.60 121.60 33.41
Last column: nearest neighbours and their distance in Å.
Fractional coordinates of all 12 atoms:
C 0.9782 0.9782 0.5053  2 B 1.59, 2 C 1.60-1.70
C 0.1707 0.1707 0.7017  4 C 1.57-1.60
C 0.1788 0.1788 0.2352  3 B 1.52-1.54
C 0.3203 0.3203 0.1523  4 B 1.59-1.72, 1 C 1.73
C 0.3271 0.3271 0.6620  3 C 1.56-1.59, 1 B 1.60
C 0.8167 0.8167 0.5573  1 B 1.54, 3 C 1.56-1.70
C 0.6855 0.6855 0.8096  2 B 1.57-1.66, 2 C 1.57
B 0.4319 0.4319 0.3821  3 C 1.59-1.63
B 0.0867 0.0867 0.0218  1 C 1.52
B 0.7018 0.7018 0.3396  3 C 1.54
B 0.7791 0.7791 0.0294  3 C 1.57-1.59
B 0.5232 0.5232 0.8537  2 C 1.60-1.66



| no. | total DFT energy (no corrections) (eV per atom) | offset from the most stable computed form (meV per atom) |
| --- | --- | --- |
| 1 | -5.229 | 19 |
| 2 | -7.803 | 102 |